Here is a relaxed SrAgSO crystal from OQMD. Energies are from PBE.

Unit cell a=7.3404 b=7.3404 c=6.0708 alpha=90.00 beta=90.00 gamma=148.53
Closest atoms and distances in Å follow each position.
Sites, in units of the cell vectors:
Ag1 0.0818 0.9182 0.4191  2 O 2.16-2.31
Ag2 0.9182 0.0818 0.9191  2 O 2.16-2.31
O1 0.0613 0.9387 0.0416  2 Ag 2.16-2.31, 2 Sr 2.38
O2 0.9387 0.0613 0.5416  2 Ag 2.16-2.31, 2 Sr 2.38
S1 0.6821 0.3179 0.4679  2 Ag 2.46
S2 0.3179 0.6821 0.9679  2 Ag 2.46
Sr1 0.3525 0.6475 0.4640  2 O 2.38
Sr2 0.6475 0.3525 0.9640  2 O 2.38

Electronic total energy = -4.522 eV/atom

***

Here is a relaxed SrAgSO crystal from OQMD. Energies are from PBE.

Unit cell a=7.6064 b=3.6481 c=11.9522 alpha=90.00 beta=90.00 gamma=90.00
Closest atoms and distances in Å follow each position.
Sites, in units of the cell vectors:
Ag1 0.2305 0.7500 0.0197  2 O 2.23
Ag2 0.7305 0.7500 0.4803  2 O 2.23
Ag3 0.2695 0.2500 0.5197  2 O 2.23
Ag4 0.7695 0.2500 0.9803  2 O 2.23
O1 0.2410 0.2500 0.1274  2 Ag 2.23, 2 Sr 2.40-2.41
O2 0.7410 0.2500 0.3726  2 Ag 2.23, 2 Sr 2.40-2.41
O3 0.2590 0.7500 0.6274  2 Ag 2.23, 2 Sr 2.40-2.41
O4 0.7590 0.7500 0.8726  2 Ag 2.23, 2 Sr 2.40-2.41
S1 0.7658 0.7500 0.1236  2 Ag 2.50
S2 0.2658 0.7500 0.3764  2 Ag 2.50
S3 0.7342 0.2500 0.6236  2 Ag 2.50
S4 0.2342 0.2500 0.8764  2 Ag 2.50
Sr1 0.5040 0.2500 0.2390  2 O 2.40-2.41
Sr2 0.0040 0.2500 0.2610  2 O 2.40-2.41
Sr3 0.9960 0.7500 0.7390  2 O 2.40-2.41
Sr4 0.4960 0.7500 0.7610  2 O 2.40-2.41

Electronic total energy = -4.499 eV/atom

***

Here is a relaxed SrAgSO crystal from OQMD. Energies are from PBE.

Unit cell a=6.9015 b=7.3101 c=6.4362 alpha=90.00 beta=90.00 gamma=90.00
Closest atoms and distances in Å follow each position.
Sites, in units of the cell vectors:
Ag1 0.5165 0.3380 0.4689  1 O 2.18, 1 S 2.42
Ag2 0.0165 0.6620 0.4689  1 O 2.18, 1 S 2.42
Ag3 0.9835 0.3380 0.9689  1 O 2.18, 1 S 2.42
Ag4 0.4835 0.6620 0.9689  1 O 2.18, 1 S 2.42
O1 0.1222 0.0891 0.0828  1 Ag 2.18, 3 Sr 2.38-2.41
O2 0.6222 0.9109 0.0828  1 Ag 2.18, 3 Sr 2.38-2.41
O3 0.3778 0.0891 0.5828  1 Ag 2.18, 3 Sr 2.38-2.41
O4 0.8778 0.9109 0.5828  1 Ag 2.18, 3 Sr 2.38-2.41
S1 0.7672 0.4727 0.2546  3 Ag 2.42-2.60
S2 0.2672 0.5273 0.2546  3 Ag 2.42-2.60
S3 0.7328 0.4727 0.7546  3 Ag 2.42-2.60
S4 0.2328 0.5273 0.7546  3 Ag 2.42-2.60
Sr1 0.0630 0.1576 0.4437  3 O 2.38-2.41
Sr2 0.5630 0.8424 0.4437  3 O 2.38-2.41
Sr3 0.4370 0.1576 0.9437  3 O 2.38-2.41
Sr4 0.9370 0.8424 0.9437  3 O 2.38-2.41

Electronic total energy = -4.607 eV/atom

***

Here is a relaxed SrAgSO crystal from OQMD. Energies are from PBE.

Unit cell a=3.7033 b=5.9062 c=7.2128 alpha=90.00 beta=75.12 gamma=90.00
Closest atoms and distances in Å follow each position.
Sites, in units of the cell vectors:
Ag1 0.4257 0.7500 0.1485  2 S 2.51, 4 O 2.58
Ag2 0.5743 0.2500 0.8515  2 S 2.51, 4 O 2.58
O1 0.0000 0.0000 0.0000  2 Sr 2.42, 4 Ag 2.58
O2 0.0000 0.5000 0.0000  2 Sr 2.42, 4 Ag 2.58
S1 0.8041 0.7500 0.3917  2 Ag 2.51
S2 0.1959 0.2500 0.6083  2 Ag 2.51
Sr1 0.8629 0.2500 0.2742  2 O 2.42
Sr2 0.1371 0.7500 0.7258  2 O 2.42

Electronic total energy = -4.324 eV/atom

***

Here is a relaxed TbAgSO crystal from OQMD. Energies are from PBE.

Unit cell a=6.3079 b=7.3081 c=6.4090 alpha=90.00 beta=100.01 gamma=90.00
Closest atoms and distances in Å follow each position.
Sites, in units of the cell vectors:
Ag1 0.9554 0.2949 0.0169  1 O 2.43, 2 S 2.57-2.60
Ag2 0.0446 0.7949 0.4831  1 O 2.43, 2 S 2.57-2.60
Ag3 0.9554 0.2051 0.5169  1 O 2.43, 2 S 2.57-2.60
Ag4 0.0446 0.7051 0.9831  1 O 2.43, 2 S 2.57-2.60
O1 0.5978 0.3407 0.0988  3 Tb 2.20-2.26, 1 Ag 2.43
O2 0.4022 0.8407 0.4012  3 Tb 2.20-2.26, 1 Ag 2.43
O3 0.5978 0.1593 0.5988  3 Tb 2.20-2.26, 1 Ag 2.43
O4 0.4022 0.6593 0.9012  3 Tb 2.20-2.26, 1 Ag 2.43
S1 0.8025 0.9278 0.1543  2 Ag 2.57-2.60, 1 Tb 2.80
S2 0.1975 0.4278 0.3457  2 Ag 2.57-2.60, 1 Tb 2.80
S3 0.8025 0.5722 0.6543  2 Ag 2.57-2.60, 1 Tb 2.80
S4 0.1975 0.0722 0.8457  2 Ag 2.57-2.60, 1 Tb 2.80
Tb1 0.5591 0.6224 0.2335  3 O 2.20-2.26
Tb2 0.4409 0.1224 0.2665  3 O 2.20-2.26
Tb3 0.5591 0.8776 0.7335  3 O 2.20-2.26
Tb4 0.4409 0.3776 0.7665  3 O 2.20-2.26

Electronic total energy = -5.928 eV/atom

***

Here is a relaxed TbAgSO crystal from OQMD. Energies are from PBE.

Unit cell a=5.6724 b=5.6716 c=10.8527 alpha=90.00 beta=91.80 gamma=90.00
Closest atoms and distances in Å follow each position.
Sites, in units of the cell vectors:
Ag1 0.9993 0.3401 0.2971  2 S 2.35-2.36
Ag2 0.6891 0.5946 0.4970  2 S 2.36-2.37
Ag3 0.3109 0.0946 0.5030  2 S 2.36-2.37
Ag4 0.0007 0.8401 0.7029  2 S 2.35-2.36
O1 0.7498 0.0709 0.0002  4 Tb 2.27-2.29
O2 0.2474 0.0703 0.0004  4 Tb 2.26-2.29
O3 0.7526 0.5703 0.9996  4 Tb 2.26-2.29
O4 0.2502 0.5709 0.9998  4 Tb 2.27-2.29
S1 0.7023 0.6306 0.2802  2 Ag 2.36
S2 0.2936 0.0497 0.2860  2 Ag 2.35-2.37
S3 0.7064 0.5497 0.7140  2 Ag 2.35-2.37
S4 0.2977 0.1306 0.7198  2 Ag 2.36
Tb1 0.5040 0.3212 0.0989  4 O 2.27-2.29
Tb2 0.0056 0.8224 0.0998  4 O 2.26-2.29
Tb3 0.9944 0.3224 0.9002  4 O 2.26-2.29
Tb4 0.4960 0.8212 0.9011  4 O 2.27-2.29

Electronic total energy = -6.060 eV/atom

***

Here is a relaxed TbAgSO crystal from OQMD. Energies are from PBE.

Unit cell a=7.6790 b=7.7711 c=5.5150 alpha=90.00 beta=90.00 gamma=90.00
Closest atoms and distances in Å follow each position.
Sites, in units of the cell vectors:
Ag1 0.3702 0.1264 0.0567  2 O 2.21-2.35
Ag2 0.8702 0.8736 0.0567  2 O 2.21-2.35
Ag3 0.1298 0.1264 0.5567  2 O 2.21-2.35
Ag4 0.6298 0.8736 0.5567  2 O 2.21-2.35
O1 0.0851 0.0892 0.0722  1 Tb 2.01, 1 Ag 2.21
O2 0.5851 0.9108 0.0722  1 Tb 2.01, 1 Ag 2.21
O3 0.4149 0.0892 0.5722  1 Tb 2.01, 1 Ag 2.21
O4 0.9149 0.9108 0.5722  1 Tb 2.01, 1 Ag 2.21
S1 0.5942 0.3652 0.0607  1 Ag 2.53, 4 Tb 2.74-2.81
S2 0.0942 0.6348 0.0607  1 Ag 2.53, 4 Tb 2.74-2.81
S3 0.9058 0.3652 0.5607  1 Ag 2.53, 4 Tb 2.74-2.81
S4 0.4058 0.6348 0.5607  1 Ag 2.53, 4 Tb 2.74-2.81
Tb1 0.9510 0.3119 0.0603  1 O 2.01
Tb2 0.4510 0.6881 0.0603  1 O 2.01
Tb3 0.5490 0.3119 0.5603  1 O 2.01
Tb4 0.0490 0.6881 0.5603  1 O 2.01

Electronic total energy = -5.602 eV/atom

***

Here is a relaxed TbAgSO crystal from OQMD. Energies are from PBE.

Unit cell a=4.2166 b=6.4489 c=6.3654 alpha=90.00 beta=90.00 gamma=90.00
Closest atoms and distances in Å follow each position.
Sites, in units of the cell vectors:
Ag1 0.0000 0.2745 0.0861  2 O 2.44, 2 S 2.51-2.55
Ag2 0.0000 0.7255 0.5861  2 O 2.44, 2 S 2.51-2.55
O1 0.5000 0.1127 0.1881  2 Tb 2.12-2.14
O2 0.5000 0.8873 0.6881  2 Tb 2.12-2.14
S1 0.0000 0.6533 0.1981  2 Ag 2.51-2.55, 2 Tb 2.65
S2 0.0000 0.3467 0.6981  2 Ag 2.51-2.55, 2 Tb 2.65
Tb1 0.5000 0.8298 0.0187  2 O 2.12-2.14
Tb2 0.5000 0.1702 0.5187  2 O 2.12-2.14

Electronic total energy = -5.763 eV/atom

***

Here is a relaxed ZnAgSO crystal from OQMD. Energies are from PBE.

Unit cell a=6.8258 b=6.8258 c=5.2325 alpha=90.00 beta=90.00 gamma=31.69
Closest atoms and distances in Å follow each position.
Sites, in units of the cell vectors:
Ag1 0.6700 0.6700 0.4803  2 O 2.28
Ag2 0.3300 0.3300 0.9803  2 O 2.28
O1 0.9287 0.9287 0.0220  2 Zn 1.91-1.98
O2 0.0713 0.0713 0.5220  2 Zn 1.91-1.98
S1 0.3267 0.3267 0.4906  2 Zn 2.39, 2 Ag 2.56-2.67
S2 0.6733 0.6733 0.9906  2 Zn 2.39, 2 Ag 2.56-2.67
Zn1 0.9342 0.9342 0.3997  2 O 1.91-1.98
Zn2 0.0658 0.0658 0.8997  2 O 1.91-1.98

Relative energy among the computed polymorphs = 72 meV per atom